# 1
{"formula": "Ca2HoPuO6", "functional": "PBE-GGA", "state": "optimized geometry", "dft_energy_ev_per_cell": -83.67, "formation_energy_uncorrected_ev_per_fu": -31.01, "density_g_cm3": 6.59, "space_group": "R3, No. 146", "cell": [[-1.265, -5.305, 2.070], [1.731, -1.530, 5.356], [-4.131, -0.521, 4.362]], "species": ["Ca", "Ca", "Ho", "Pu", "O", "O", "O", "O", "O", "O"], "frac_coords": [[0.535, 0.535, 0.394], [0.031, 0.031, 0.907], [0.812, 0.812, 0.563], [0.317, 0.317, 0.048], [0.592, 0.187, 0.261], [0.187, 0.960, 0.261], [0.960, 0.592, 0.261], [0.443, 0.676, 0.773], [0.676, 0.108, 0.773], [0.108, 0.443, 0.773]]}

# 2
{"formula": "Ca2HoRuO6", "functional": "PBE-GGA", "state": "optimized geometry", "dft_energy_ev_per_cell": -144.29, "formation_energy_uncorrected_ev_per_fu": -24.54, "density_g_cm3": 5.63, "space_group": "P2_1/c, No. 14", "cell": [[5.588, 0.000, -0.043], [0.000, 5.805, 0.000], [-0.014, 0.000, 8.036]], "species": ["Ca", "Ca", "Ca", "Ca", "Ho", "Ho", "Ru", "Ru", "O", "O", "O", "O", "O", "O", "O", "O", "O", "O", "O", "O"], "frac_coords": [[0.016, 0.944, 0.251], [0.516, 0.556, 0.751], [0.984, 0.056, 0.749], [0.484, 0.444, 0.249], [0.500, 0.000, 0.000], [0.000, 0.500, 0.500], [0.500, 0.000, 0.500], [0.000, 0.500, 0.000], [0.286, 0.687, 0.054], [0.786, 0.813, 0.554], [0.714, 0.313, 0.946], [0.214, 0.187, 0.446], [0.319, 0.716, 0.438], [0.819, 0.784, 0.938], [0.681, 0.284, 0.562], [0.181, 0.216, 0.062], [0.891, 0.543, 0.233], [0.391, 0.957, 0.733], [0.109, 0.457, 0.767], [0.609, 0.043, 0.267]]}

# 3
{"formula": "CaHoRu2O8", "functional": "PBE-GGA", "state": "optimized geometry", "dft_energy_ev_per_cell": -84.36, "formation_energy_uncorrected_ev_per_fu": -19.56, "density_g_cm3": 4.38, "space_group": "P-3m1, No. 164", "cell": [[5.873, 0.000, 0.000], [-2.937, 5.086, 0.000], [0.000, 0.000, 6.790]], "species": ["Ca", "Ho", "Ru", "Ru", "O", "O", "O", "O", "O", "O", "O", "O"], "frac_coords": [[0.000, 0.000, 0.000], [0.000, 0.000, 0.500], [0.667, 0.333, 0.196], [0.333, 0.667, 0.804], [0.333, 0.667, 0.064], [0.321, 0.161, 0.274], [0.839, 0.160, 0.274], [0.667, 0.333, 0.936], [0.161, 0.840, 0.726], [0.679, 0.839, 0.726], [0.160, 0.321, 0.726], [0.840, 0.679, 0.274]]}

# 4
{"formula": "CaHoSb2O6", "functional": "PBE-GGA", "state": "optimized geometry", "dft_energy_ev_per_cell": -131.46, "formation_energy_uncorrected_ev_per_fu": -21.15, "density_g_cm3": 6.33, "space_group": "Pmn2_1, No. 31", "cell": [[-3.388, 0.095, 4.469], [-4.622, -2.116, -3.460], [2.192, -7.775, 1.827]], "species": ["Ca", "Ca", "Ho", "Ho", "Sb", "Sb", "Sb", "Sb", "O", "O", "O", "O", "O", "O", "O", "O", "O", "O", "O", "O"], "frac_coords": [[0.489, 0.202, 0.000], [0.989, 0.798, 0.500], [0.029, 0.674, 0.000], [0.529, 0.326, 0.500], [0.995, 0.250, 0.255], [0.995, 0.250, 0.745], [0.495, 0.750, 0.755], [0.495, 0.750, 0.245], [0.146, 0.190, 0.500], [0.176, 0.907, 0.184], [0.176, 0.907, 0.816], [0.312, 0.471, 0.173], [0.312, 0.471, 0.827], [0.375, 0.674, 0.500], [0.646, 0.810, 0.000], [0.676, 0.093, 0.684], [0.676, 0.093, 0.316], [0.812, 0.529, 0.327], [0.812, 0.529, 0.673], [0.875, 0.326, 0.000]]}

# 5
{"formula": "CaHo2SbO6", "functional": "PBE-GGA", "state": "optimized geometry", "dft_energy_ev_per_cell": -72.48, "formation_energy_uncorrected_ev_per_fu": -27.45, "density_g_cm3": 6.70, "space_group": "R3, No. 146", "cell": [[5.792, 0.000, 0.000], [2.896, 5.016, 0.000], [2.896, 1.672, 5.012]], "species": ["Ca", "Ho", "Ho", "Sb", "O", "O", "O", "O", "O", "O"], "frac_coords": [[0.803, 0.803, 0.590], [0.527, 0.527, 0.418], [0.022, 0.022, 0.934], [0.316, 0.316, 0.052], [0.615, 0.220, 0.241], [0.220, 0.924, 0.241], [0.924, 0.615, 0.241], [0.401, 0.693, 0.765], [0.693, 0.141, 0.765], [0.141, 0.401, 0.765]]}

# 6
{"formula": "CaHoSe2O8", "functional": "PBE-GGA", "state": "optimized geometry", "dft_energy_ev_per_cell": -72.51, "formation_energy_uncorrected_ev_per_fu": -19.30, "density_g_cm3": 4.12, "space_group": "P-3m1, No. 164", "cell": [[5.728, 0.000, 0.000], [-2.864, 4.961, 0.000], [0.000, 0.000, 6.958]], "species": ["Ca", "Ho", "Se", "Se", "O", "O", "O", "O", "O", "O", "O", "O"], "frac_coords": [[0.000, 0.000, 0.000], [0.000, 0.000, 0.500], [0.667, 0.333, 0.207], [0.333, 0.667, 0.793], [0.333, 0.667, 0.031], [0.325, 0.163, 0.276], [0.837, 0.162, 0.276], [0.667, 0.333, 0.969], [0.163, 0.838, 0.724], [0.675, 0.837, 0.724], [0.162, 0.325, 0.724], [0.838, 0.675, 0.276]]}

# 7
{"formula": "CaHo2SnO6", "functional": "PBE-GGA", "state": "optimized geometry", "dft_energy_ev_per_cell": -73.81, "formation_energy_uncorrected_ev_per_fu": -28.90, "density_g_cm3": 6.85, "space_group": "R3, No. 146", "cell": [[-5.097, 2.160, 1.385], [-3.604, -3.031, 3.222], [-0.911, 1.748, 5.678]], "species": ["Ca", "Ho", "Ho", "Sn", "O", "O", "O", "O", "O", "O"], "frac_coords": [[0.804, 0.804, 0.587], [0.526, 0.526, 0.422], [0.023, 0.023, 0.932], [0.316, 0.316, 0.051], [0.593, 0.218, 0.244], [0.218, 0.944, 0.244], [0.944, 0.593, 0.244], [0.404, 0.697, 0.763], [0.697, 0.136, 0.763], [0.136, 0.404, 0.763]]}

# 8
{"formula": "Ca2HoTaO6", "functional": "PBE-GGA", "state": "optimized geometry", "dft_energy_ev_per_cell": -164.43, "formation_energy_uncorrected_ev_per_fu": -32.03, "density_g_cm3": 6.50, "space_group": "P2_1/c, No. 14", "cell": [[-1.670, 3.690, -3.904], [-5.569, -0.873, 1.558], [0.581, 5.989, 5.432]], "species": ["Ca", "Ca", "Ca", "Ca", "Ho", "Ho", "Ta", "Ta", "O", "O", "O", "O", "O", "O", "O", "O", "O", "O", "O", "O"], "frac_coords": [[0.015, 0.948, 0.254], [0.515, 0.552, 0.754], [0.985, 0.052, 0.746], [0.485, 0.448, 0.246], [0.500, 0.000, 0.000], [0.000, 0.500, 0.500], [0.500, 0.000, 0.500], [0.000, 0.500, 0.000], [0.289, 0.685, 0.054], [0.789, 0.815, 0.554], [0.711, 0.315, 0.946], [0.211, 0.185, 0.446], [0.319, 0.715, 0.435], [0.819, 0.785, 0.935], [0.681, 0.285, 0.565], [0.181, 0.215, 0.065], [0.888, 0.547, 0.234], [0.388, 0.953, 0.734], [0.112, 0.453, 0.766], [0.612, 0.047, 0.266]]}

# 9
{"formula": "CaHoTc2O8", "functional": "PBE-GGA", "state": "optimized geometry", "dft_energy_ev_per_cell": -91.32, "formation_energy_uncorrected_ev_per_fu": -24.35, "density_g_cm3": 4.32, "space_group": "P-3m1, No. 164", "cell": [[-3.941, 4.336, -0.676], [-0.935, -4.239, 3.994], [3.236, 3.666, 4.648]], "species": ["Ca", "Ho", "Tc", "Tc", "O", "O", "O", "O", "O", "O", "O", "O"], "frac_coords": [[0.000, 0.000, 0.000], [0.000, 0.000, 0.500], [0.667, 0.333, 0.194], [0.333, 0.667, 0.806], [0.333, 0.667, 0.066], [0.323, 0.161, 0.274], [0.839, 0.161, 0.274], [0.667, 0.333, 0.934], [0.161, 0.839, 0.726], [0.677, 0.839, 0.726], [0.161, 0.323, 0.726], [0.839, 0.677, 0.274]]}

# 10
{"formula": "CaHoTe2O8", "functional": "PBE-GGA", "state": "optimized geometry", "dft_energy_ev_per_cell": -74.72, "formation_energy_uncorrected_ev_per_fu": -22.19, "density_g_cm3": 6.08, "space_group": "I-4, No. 82", "cell": [[-2.535, -3.969, 2.442], [-1.407, -1.998, -4.708], [6.749, -0.133, 1.028]], "species": ["Ca", "Ho", "Te", "Te", "O", "O", "O", "O", "O", "O", "O", "O"], "frac_coords": [[0.750, 0.250, 0.500], [0.000, 0.000, 0.000], [0.500, 0.500, 0.000], [0.250, 0.750, 0.500], [0.762, 0.830, 0.168], [0.407, 0.338, 0.168], [0.602, 0.671, 0.685], [0.082, 0.013, 0.685], [0.987, 0.398, 0.315], [0.329, 0.918, 0.315], [0.170, 0.593, 0.832], [0.662, 0.238, 0.832]]}

# 11
{"formula": "CaHo2TlO6", "functional": "PBE-GGA", "state": "optimized geometry", "dft_energy_ev_per_cell": -67.68, "formation_energy_uncorrected_ev_per_fu": -24.41, "density_g_cm3": 7.42, "space_group": "R3, No. 146", "cell": [[5.814, 0.000, 0.000], [2.907, 5.035, 0.000], [2.907, 1.678, 5.126]], "species": ["Ca", "Ho", "Ho", "Tl", "O", "O", "O", "O", "O", "O"], "frac_coords": [[0.804, 0.804, 0.588], [0.521, 0.521, 0.436], [0.020, 0.020, 0.939], [0.309, 0.309, 0.074], [0.622, 0.217, 0.247], [0.217, 0.914, 0.247], [0.914, 0.622, 0.247], [0.396, 0.718, 0.746], [0.718, 0.140, 0.746], [0.140, 0.396, 0.746]]}

# 12
{"formula": "Ca2HoTlO", "functional": "PBE-GGA", "state": "optimized geometry", "dft_energy_ev_per_cell": -22.84, "formation_energy_uncorrected_ev_per_fu": -6.93, "density_g_cm3": 6.87, "space_group": "P4/mmm, No. 123", "cell": [[4.834, 0.000, 0.000], [0.000, 4.825, 0.000], [0.000, 0.000, 4.825]], "species": ["Ca", "Ca", "Ho", "Tl", "O"], "frac_coords": [[0.000, 0.000, 0.500], [0.000, 0.500, 0.000], [0.500, 0.000, 0.000], [0.500, 0.500, 0.500], [0.000, 0.000, 0.000]]}

Repeat the seventh record exactly.
{"formula": "CaHo2SnO6", "functional": "PBE-GGA", "state": "optimized geometry", "dft_energy_ev_per_cell": -73.81, "formation_energy_uncorrected_ev_per_fu": -28.90, "density_g_cm3": 6.85, "space_group": "R3, No. 146", "cell": [[-5.097, 2.160, 1.385], [-3.604, -3.031, 3.222], [-0.911, 1.748, 5.678]], "species": ["Ca", "Ho", "Ho", "Sn", "O", "O", "O", "O", "O", "O"], "frac_coords": [[0.804, 0.804, 0.587], [0.526, 0.526, 0.422], [0.023, 0.023, 0.932], [0.316, 0.316, 0.051], [0.593, 0.218, 0.244], [0.218, 0.944, 0.244], [0.944, 0.593, 0.244], [0.404, 0.697, 0.763], [0.697, 0.136, 0.763], [0.136, 0.404, 0.763]]}